1.
# KHgOF2 meta-GGA SCAN single point on PBEsol structure
# Calculated density = 5.7 g/cm³
# Formation energy (no corrections) = -1.41 eV/atom
# DOS at the Fermi energy = 2.5 states/eV/cell
# DFT total energy = -19.3698 eV per atom
# Total moment = 0.38 μB/f.u.
data_KHgOF2
_symmetry_space_group_name_H-M 'P 1'
_symmetry_Int_Tables_number 1
_cell_length_a 4.0492
_cell_length_b 4.5879
_cell_length_c 4.5879
_cell_angle_alpha 90.00
_cell_angle_beta 90.00
_cell_angle_gamma 90.00
loop_
_symmetry_equiv_pos_as_xyz
'x,y,z'
loop_
_atom_site_label
_atom_site_type_symbol
_atom_site_fract_x
_atom_site_fract_y
_atom_site_fract_z
K1 K 0.5000 0.5000 0.5000
Hg1 Hg 0.0000 0.0000 0.0000
O1 O 0.5000 0.0000 0.0000
F1 F 0.0000 0.0000 0.5000
F2 F 0.0000 0.5000 0.0000


2.
# K2TlHgF6 meta-GGA SCAN single point on PBEsol structure
# Calculated density = 5.2 g/cm³
# Formation energy (no corrections) = -2.11 eV/atom
# DOS at the Fermi energy = 1.3 states/eV/cell
# DFT total energy = -19.9500 eV per atom
# Total moment = 0.00 μB/f.u.
data_K2TlHgF6
_symmetry_space_group_name_H-M 'P 1'
_symmetry_Int_Tables_number 1
_cell_length_a 6.4563
_cell_length_b 6.4563
_cell_length_c 6.4563
_cell_angle_alpha 60.00
_cell_angle_beta 60.00
_cell_angle_gamma 60.00
loop_
_symmetry_equiv_pos_as_xyz
'x,y,z'
loop_
_atom_site_label
_atom_site_type_symbol
_atom_site_fract_x
_atom_site_fract_y
_atom_site_fract_z
F1 F 0.7498 0.7498 0.2502
F2 F 0.7498 0.2502 0.2502
F3 F 0.2502 0.7498 0.7498
F4 F 0.7498 0.2502 0.7498
F5 F 0.2502 0.2502 0.7498
F6 F 0.2502 0.7498 0.2502
K1 K 0.2500 0.2500 0.2500
K2 K 0.7500 0.7500 0.7500
Tl1 Tl 0.0000 0.0000 0.0000
Hg1 Hg 0.5000 0.5000 0.5000


3.
# LaHgSbF2 meta-GGA SCAN single point on PBEsol structure
# Calculated density = 6.3 g/cm³
# Formation energy (no corrections) = -2.17 eV/atom
# DOS at the Fermi energy = 2.4 states/eV/cell
# DFT total energy = -33.2922 eV per atom
# Total moment = 0.00 μB/f.u.
data_LaHgSbF2
_symmetry_space_group_name_H-M 'P 1'
_symmetry_Int_Tables_number 1
_cell_length_a 4.4157
_cell_length_b 4.4157
_cell_length_c 6.7238
_cell_angle_alpha 90.00
_cell_angle_beta 90.00
_cell_angle_gamma 90.00
loop_
_symmetry_equiv_pos_as_xyz
'x,y,z'
loop_
_atom_site_label
_atom_site_type_symbol
_atom_site_fract_x
_atom_site_fract_y
_atom_site_fract_z
La1 La 0.0000 0.0000 0.0000
F1 F 0.5000 0.0000 0.0000
F2 F 0.0000 0.5000 0.0000
Sb1 Sb 0.5000 0.5000 0.5000
Hg1 Hg 0.0000 0.0000 0.5000


4.
# LaTaHgF2 meta-GGA SCAN single point on PBEsol structure
# Calculated density = 7.2 g/cm³
# Formation energy (no corrections) = -1.31 eV/atom
# DOS at the Fermi energy = 0.7 states/eV/cell
# DFT total energy = -38.2967 eV per atom
# Total moment = 3.96 μB/f.u.
data_LaTaHgF2
_symmetry_space_group_name_H-M 'P 1'
_symmetry_Int_Tables_number 1
_cell_length_a 4.4020
_cell_length_b 4.4020
_cell_length_c 6.6480
_cell_angle_alpha 90.00
_cell_angle_beta 90.00
_cell_angle_gamma 90.00
loop_
_symmetry_equiv_pos_as_xyz
'x,y,z'
loop_
_atom_site_label
_atom_site_type_symbol
_atom_site_fract_x
_atom_site_fract_y
_atom_site_fract_z
Hg1 Hg 0.5000 0.5000 0.5000
F1 F 0.0000 0.5000 0.0000
F2 F 0.5000 0.0000 0.0000
Ta1 Ta 0.0000 0.0000 0.5000
La1 La 0.0000 0.0000 0.0000


5.
# LiHgF3 meta-GGA SCAN single point on PBEsol structure
# Calculated density = 4.9 g/cm³
# Formation energy (no corrections) = -1.66 eV/atom
# DFT total energy = -17.8916 eV per atom
# Total moment = 0.00 μB/f.u.
data_LiHgF3
_symmetry_space_group_name_H-M 'P 1'
_symmetry_Int_Tables_number 1
_cell_length_a 4.4896
_cell_length_b 4.4896
_cell_length_c 4.4896
_cell_angle_alpha 90.00
_cell_angle_beta 90.00
_cell_angle_gamma 90.00
loop_
_symmetry_equiv_pos_as_xyz
'x,y,z'
loop_
_atom_site_label
_atom_site_type_symbol
_atom_site_fract_x
_atom_site_fract_y
_atom_site_fract_z
F1 F 0.5000 0.5000 0.0000
F2 F 0.0000 0.5000 0.5000
F3 F 0.5000 0.0000 0.5000
Li1 Li 0.0000 0.0000 0.0000
Hg1 Hg 0.5000 0.5000 0.5000


6.
# MgTl2HgF meta-GGA SCAN single point on PBEsol structure
# Calculated density = 6.6 g/cm³
# Formation energy (no corrections) = -0.23 eV/atom
# DOS at the Fermi energy = 0.8 states/eV/cell
# DFT total energy = -44.5100 eV per atom
# Total moment = 0.00 μB/f.u.
data_MgTl2HgF
_symmetry_space_group_name_H-M 'P 1'
_symmetry_Int_Tables_number 1
_cell_length_a 5.2590
_cell_length_b 5.5812
_cell_length_c 5.5812
_cell_angle_alpha 90.00
_cell_angle_beta 90.00
_cell_angle_gamma 90.00
loop_
_symmetry_equiv_pos_as_xyz
'x,y,z'
loop_
_atom_site_label
_atom_site_type_symbol
_atom_site_fract_x
_atom_site_fract_y
_atom_site_fract_z
F1 F 0.5000 0.5000 0.5000
Hg1 Hg 0.0000 0.0000 0.0000
Tl1 Tl 0.0000 0.5000 0.0000
Tl2 Tl 0.0000 0.0000 0.5000
Mg1 Mg 0.5000 0.0000 0.0000


7.
# MnHgF3 meta-GGA SCAN single point on PBEsol structure
# Calculated density = 5.7 g/cm³
# Formation energy (no corrections) = -1.15 eV/atom
# DOS at the Fermi energy = 1.2 states/eV/cell
# DFT total energy = -20.5561 eV per atom
# Total moment = 5.91 μB/f.u.
data_MnHgF3
_symmetry_space_group_name_H-M 'P 1'
_symmetry_Int_Tables_number 1
_cell_length_a 4.4925
_cell_length_b 4.4925
_cell_length_c 4.4925
_cell_angle_alpha 90.00
_cell_angle_beta 90.00
_cell_angle_gamma 90.00
loop_
_symmetry_equiv_pos_as_xyz
'x,y,z'
loop_
_atom_site_label
_atom_site_type_symbol
_atom_site_fract_x
_atom_site_fract_y
_atom_site_fract_z
F1 F 0.0000 0.0000 0.5000
F2 F 0.5000 0.0000 0.0000
F3 F 0.0000 0.5000 0.0000
Hg1 Hg 0.0000 0.0000 0.0000
Mn1 Mn 0.5000 0.5000 0.5000


8.
# Mn2HgF meta-GGA SCAN single point on PBEsol structure
# Calculated density = 8.9 g/cm³
# Formation energy (no corrections) = -0.49 eV/atom
# DOS at the Fermi energy = 2.9 states/eV/cell
# DFT total energy = -27.5427 eV per atom
# Total moment = 8.42 μB/f.u.
data_Mn2HgF
_symmetry_space_group_name_H-M 'P 1'
_symmetry_Int_Tables_number 1
_cell_length_a 4.4316
_cell_length_b 4.4316
_cell_length_c 4.4316
_cell_angle_alpha 60.00
_cell_angle_beta 60.00
_cell_angle_gamma 60.00
loop_
_symmetry_equiv_pos_as_xyz
'x,y,z'
loop_
_atom_site_label
_atom_site_type_symbol
_atom_site_fract_x
_atom_site_fract_y
_atom_site_fract_z
Mn1 Mn 0.7500 0.7500 0.7500
Mn2 Mn 0.2500 0.2500 0.2500
Hg1 Hg 0.5000 0.5000 0.5000
F1 F 0.0000 0.0000 0.0000


9.
# MnHgOF2 meta-GGA SCAN single point on PBEsol structure
# Calculated density = 8.2 g/cm³
# Formation energy (no corrections) = -1.72 eV/atom
# E above lowest polymorph = 0.000 eV/f.u.
# DOS at the Fermi energy = 2.0 states/eV/cell
# DFT total energy = -21.6660 eV per atom
# Total moment = 4.05 μB/f.u.
data_MnHgOF2
_symmetry_space_group_name_H-M 'P 1'
_symmetry_Int_Tables_number 1
_cell_length_a 3.8046
_cell_length_b 4.0553
_cell_length_c 4.0553
_cell_angle_alpha 90.00
_cell_angle_beta 90.00
_cell_angle_gamma 90.00
loop_
_symmetry_equiv_pos_as_xyz
'x,y,z'
loop_
_atom_site_label
_atom_site_type_symbol
_atom_site_fract_x
_atom_site_fract_y
_atom_site_fract_z
O1 O 0.5000 0.0000 0.0000
Mn1 Mn 0.0000 0.0000 0.0000
F1 F 0.0000 0.5000 0.0000
F2 F 0.0000 0.0000 0.5000
Hg1 Hg 0.5000 0.5000 0.5000


10.
# MnHgOF2 meta-GGA SCAN single point on PBEsol structure
# Calculated density = 6.3 g/cm³
# Formation energy (no corrections) = -0.72 eV/atom
# E above lowest polymorph = 4.991 eV/f.u.
# DOS at the Fermi energy = 1.0 states/eV/cell
# DFT total energy = -20.6677 eV per atom
# Total moment = 5.20 μB/f.u.
data_MnHgOF2
_symmetry_space_group_name_H-M 'P 1'
_symmetry_Int_Tables_number 1
_cell_length_a 4.1708
_cell_length_b 4.4341
_cell_length_c 4.4341
_cell_angle_alpha 90.00
_cell_angle_beta 90.00
_cell_angle_gamma 90.00
loop_
_symmetry_equiv_pos_as_xyz
'x,y,z'
loop_
_atom_site_label
_atom_site_type_symbol
_atom_site_fract_x
_atom_site_fract_y
_atom_site_fract_z
F1 F 0.0000 0.5000 0.0000
F2 F 0.0000 0.0000 0.5000
Hg1 Hg 0.0000 0.0000 0.0000
O1 O 0.5000 0.0000 0.0000
Mn1 Mn 0.5000 0.5000 0.5000


11.
# MnHgSF2 meta-GGA SCAN single point on PBEsol structure
# Calculated density = 6.0 g/cm³
# Formation energy (no corrections) = -1.48 eV/atom
# DOS at the Fermi energy = 1.1 states/eV/cell
# DFT total energy = -22.1033 eV per atom
# Total moment = 4.68 μB/f.u.
data_MnHgSF2
_symmetry_space_group_name_H-M 'P 1'
_symmetry_Int_Tables_number 1
_cell_length_a 3.7873
_cell_length_b 3.7873
_cell_length_c 6.3022
_cell_angle_alpha 90.00
_cell_angle_beta 90.00
_cell_angle_gamma 90.00
loop_
_symmetry_equiv_pos_as_xyz
'x,y,z'
loop_
_atom_site_label
_atom_site_type_symbol
_atom_site_fract_x
_atom_site_fract_y
_atom_site_fract_z
S1 S 0.5000 0.5000 0.5000
Hg1 Hg 0.0000 0.0000 0.5000
F1 F 0.0000 0.5000 0.0000
F2 F 0.5000 0.0000 0.0000
Mn1 Mn 0.0000 0.0000 0.0000


12.
# MnHg2SeF meta-GGA SCAN single point on PBEsol structure
# Calculated density = 8.9 g/cm³
# Formation energy (no corrections) = -0.52 eV/atom
# DOS at the Fermi energy = 2.2 states/eV/cell
# DFT total energy = -36.1623 eV per atom
# Total moment = 4.43 μB/f.u.
data_MnHg2SeF
_symmetry_space_group_name_H-M 'P 1'
_symmetry_Int_Tables_number 1
_cell_length_a 3.7393
_cell_length_b 5.2649
_cell_length_c 5.2649
_cell_angle_alpha 90.00
_cell_angle_beta 90.00
_cell_angle_gamma 90.00
loop_
_symmetry_equiv_pos_as_xyz
'x,y,z'
loop_
_atom_site_label
_atom_site_type_symbol
_atom_site_fract_x
_atom_site_fract_y
_atom_site_fract_z
Se1 Se 0.5000 0.5000 0.5000
Hg1 Hg 0.0000 0.0000 0.5000
Hg2 Hg 0.0000 0.5000 0.0000
Mn1 Mn 0.0000 0.0000 0.0000
F1 F 0.5000 0.0000 0.0000